Computed, not measured: MnPt2 after structural relaxation at the PBE-GGA level of DFT.

Electronic total energy ... -42.8 eV/cell
Formation energy ... -0.06 eV per atom

Cell and atoms, written as POSCAR:
```
MnPt2
1.0
0.0000 3.7125 3.7125
3.7125 0.0000 3.7125
3.7125 3.7125 0.0000
Mn Pt
2 4
Cartesian
0.9281 0.9281 0.9281
6.4968 6.4968 6.4968
3.7125 1.8562 1.8562
1.8562 3.7125 1.8562
1.8562 1.8562 3.7125
3.7125 3.7125 3.7125
```